1.
Compound: Na2LiCd2
Source: Alexandria via LeMat-Bulk
Functional: SCAN
Structure: single point on PBEsol structure

a = 7.234 Å, b = 7.234 Å, c = 4.958 Å
α = 90.00°, β = 90.00°, γ = 90.00°
Positions (direct):
Na: 0.170 0.330 0.000
Na: 0.330 0.830 0.000
Na: 0.670 0.170 0.000
Na: 0.830 0.670 0.000
Li: 0.000 0.000 0.500
Li: 0.500 0.500 0.500
Cd: 0.138 0.638 0.500
Cd: 0.362 0.138 0.500
Cd: 0.638 0.862 0.500
Cd: 0.862 0.362 0.500

Results
The formation energy is -0.0690 eV/atom. Its crystal system is tetragonal. The total magnetic moment comes out at 0.000 μB per atom.

***

2.
Compound: LiCdNi2
Source: Alexandria via LeMat-Bulk
Functional: SCAN
Structure: single point on PBEsol structure

a = 2.674 Å, b = 3.686 Å, c = 5.223 Å
α = 90.00°, β = 90.00°, γ = 90.00°
Positions (direct):
Li: 0.000 0.000 0.000
Cd: 0.000 0.000 0.500
Ni: 0.500 0.500 0.230
Ni: 0.500 0.500 0.770

Results
The formation energy is 0.1445 eV/atom. Its crystal system is orthorhombic. The total magnetic moment comes out at 0.000 μB per atom.

***

3.
Compound: Li2CdNi
Source: Alexandria via LeMat-Bulk
Functional: SCAN
Structure: single point on PBEsol structure

a = 2.765 Å, b = 2.765 Å, c = 26.679 Å
α = 90.00°, β = 90.00°, γ = 120.00°
Positions (direct):
Li: 0.000 0.000 0.239
Li: 0.000 0.000 0.761
Li: 0.333 0.667 0.428
Li: 0.333 0.667 0.906
Li: 0.667 0.333 0.094
Li: 0.667 0.333 0.572
Cd: 0.000 0.000 0.000
Cd: 0.333 0.667 0.667
Cd: 0.667 0.333 0.333
Ni: 0.000 0.000 0.500
Ni: 0.333 0.667 0.167
Ni: 0.667 0.333 0.833

Results
The formation energy is 0.0503 eV/atom. Its crystal system is trigonal. The total magnetic moment comes out at 0.001 μB per atom.

***

> Which formula does entry 3 have?

Li2CdNi